# 1
First-principles (PBE) data for a geometry-optimized TbEr2Ag2 structure, as listed in Alexandria via LeMat-Bulk.

Cell: 3.6113 5.2349 13.4641 Å, 90.00 97.69 90.00°
Positions (direct):
1 Er 0.7651 0.2500 0.5310
2 Er 0.0475 0.7500 0.0951
3 Ag 0.3574 0.2500 0.7156
4 Ag 0.6426 0.7500 0.2844
5 Er 0.2349 0.7500 0.4690
6 Er 0.9525 0.2500 0.9049
7 Ag 0.5464 0.2500 0.0925
8 Tb 0.8540 0.7500 0.7089
9 Tb 0.1460 0.2500 0.2911
10 Ag 0.4536 0.7500 0.9075

Output
Final energy: -4.1362 eV/atom
Space group: P2_1/m, No. 11
Calculated formation energy: -118 kJ/mol of formula units

=====

# 2
First-principles (PBE) data for a geometry-optimized Tb3ErAg4 structure, as listed in Alexandria via LeMat-Bulk.

Cell: 3.6368 3.6368 14.5805 Å, 90.00 90.00 90.00°
Positions (direct):
1 Tb 0.5000 0.5000 0.7519
2 Tb 0.5000 0.5000 0.5000
3 Ag 0.0000 0.0000 0.6255
4 Ag 0.0000 0.0000 0.3745
5 Er 0.5000 0.5000 0.0000
6 Tb 0.5000 0.5000 0.2481
7 Ag 0.0000 0.0000 0.8791
8 Ag 0.0000 0.0000 0.1209

Output
Final energy: -4.0503 eV/atom
Space group: P4/mmm, No. 123
Calculated formation energy: -245 kJ/mol of formula units

=====

# 3
First-principles (PBE) data for a geometry-optimized Tb2ErAg4 structure, as listed in Alexandria via LeMat-Bulk.

Cell: 5.2707 5.2707 7.3886 Å, 110.90 110.90 90.00°
Positions (direct):
1 Tb 0.7252 0.7252 0.4503
2 Ag 0.3819 0.8819 0.7638
3 Ag 0.8819 0.3819 0.7638
4 Ag 0.1181 0.6181 0.2362
5 Er 0.0000 0.0000 0.0000
6 Tb 0.2748 0.2748 0.5497
7 Ag 0.6181 0.1181 0.2362

Output
Final energy: -3.7256 eV/atom
Space group: I4/mmm, No. 139
Calculated formation energy: -82 kJ/mol of formula units

=====

# 4
First-principles (PBE) data for a geometry-optimized Tb2Er2Ag3 structure, as listed in Alexandria via LeMat-Bulk.

Cell: 5.0696 5.0671 8.8014 Å, 90.03 106.96 119.87°
Positions (direct):
1 Tb 0.2517 0.1263 0.3795
2 Ag 0.0000 0.0000 0.0000
3 Er 0.2477 0.6236 0.8705
4 Tb 0.7483 0.8737 0.6205
5 Ag 0.5028 0.2512 0.7529
6 Er 0.7523 0.3764 0.1295
7 Ag 0.4972 0.7488 0.2471

Output
Final energy: -4.0142 eV/atom
Space group: P-1, No. 2
Calculated formation energy: -112 kJ/mol of formula units

=====

# 5
First-principles (PBE) data for a geometry-optimized Tb3Er2Ag3 structure, as listed in Alexandria via LeMat-Bulk.

Cell: 3.6535 5.2683 11.2383 Å, 103.56 99.35 90.00°
Positions (direct):
1 Er 0.7317 0.2317 0.4634
2 Tb 0.5000 0.0000 0.0000
3 Tb 0.3787 0.3787 0.7574
4 Ag 0.0000 0.5000 0.0000
5 Ag 0.1186 0.1186 0.2372
6 Tb 0.6213 0.6213 0.2426
7 Ag 0.8814 0.8814 0.7628
8 Er 0.2683 0.7683 0.5366

Output
Final energy: -4.1689 eV/atom
Space group: Immm, No. 71
Calculated formation energy: -172 kJ/mol of formula units

=====

# 6
First-principles (PBE) data for a geometry-optimized Tb6ErAg structure, as listed in Alexandria via LeMat-Bulk.

Cell: 9.2873 8.4478 6.2786 Å, 47.70 42.29 56.68°
Positions (direct):
1 Ag 0.0000 0.0000 0.0000
2 Tb 0.0438 0.4316 0.7631
3 Tb 0.7616 0.9563 0.7136
4 Tb 0.9562 0.5684 0.2369
5 Tb 0.2384 0.0437 0.2864
6 Tb 0.5683 0.2385 0.1492
7 Er 0.5000 0.5000 0.5000
8 Tb 0.4317 0.7615 0.8508

Output
Final energy: -4.3560 eV/atom
Space group: R-3, No. 148
Calculated formation energy: 34 kJ/mol of formula units